# 1
## Pr3Nd2Sm6Mg (PBE-GGA)

Data for a geometry-optimized Pr3Nd2Sm6Mg structure.

The space group is C2/m (No. 12) and the conventional cell measures 6.285, 10.892 and 12.037 Å, with angles of 90.00, 100.10 and 90.00 degrees. The distinct sites, in fractional coordinates, are Pr at (0.000, 0.000, 0.000), Pr at (0.000, 0.333, 0.000), Nd at (0.000, 0.167, 0.500), Sm at (0.247, 0.335, 0.747), Sm at (0.249, 0.500, 0.252) and Mg at (0.000, 0.500, 0.500).

Its formation energy is 0.020 eV per atom. The value obtained for the density is 6.70 g/cm3. Its density of states at the Fermi level is 1.4300 states/eV/atom.

=====

# 2
## Pr2NdSm4Mg (PBE-GGA)

Data for a geometry-optimized Pr2NdSm4Mg structure.

The space group is P2/m (No. 10) and the conventional cell measures 5.824, 5.833 and 7.835 Å, with angles of 90.00, 90.06 and 90.00 degrees. The distinct sites, in fractional coordinates, are Pr at (0.000, 0.000, 0.000), Pr at (0.500, 0.500, 0.500), Nd at (0.000, 0.000, 0.500), Sm at (0.001, 0.500, 0.229), Sm at (0.500, 0.000, 0.230) and Mg at (0.500, 0.500, 0.000).

Its formation energy is 0.088 eV per atom. The value obtained for the density is 6.56 g/cm3. Its density of states at the Fermi level is 1.9448 states/eV/atom.

=====

# 3
## Pr5Nd2SmMg (PBE-GGA)

Data for a geometry-optimized Pr5Nd2SmMg structure.

The space group is Cmcm (No. 63) and the conventional cell measures 5.648, 20.458 and 10.926 Å, with angles of 90.00, 90.00 and 90.00 degrees. The distinct sites, in fractional coordinates, are Pr at (0.000, 0.000, 0.000), Pr at (0.000, 0.121, 0.250), Pr at (0.000, 0.212, 0.552), Pr at (0.000, 0.486, 0.250), Nd at (0.000, 0.385, 0.539), Sm at (0.000, 0.302, 0.250) and Mg at (0.000, 0.095, 0.750).

Its formation energy is 0.082 eV per atom. The value obtained for the density is 6.14 g/cm3. Its density of states at the Fermi level is 1.5152 states/eV/atom.

=====

# 4
## Pr4Nd2Sm2Mg (PBE-GGA)

Data for a geometry-optimized Pr4Nd2Sm2Mg structure.

The space group is P-1 (No. 2) and the conventional cell measures 5.960, 6.782 and 8.814 Å, with angles of 80.90, 71.40 and 66.47 degrees. The distinct sites, in fractional coordinates, are Pr at (0.213, 0.484, 0.118), Pr at (0.276, 0.692, 0.672), Nd at (0.431, 0.887, 0.210), Sm at (0.174, 0.227, 0.534) and Mg at (0.000, 0.000, 0.000).

Its formation energy is 0.048 eV per atom. The value obtained for the density is 6.32 g/cm3. Its density of states at the Fermi level is 1.3963 states/eV/atom.

=====

# 5
## Pr2Nd4SmMg (PBE-GGA)

Data for a geometry-optimized Pr2Nd4SmMg structure.

The space group is P2/m (No. 10) and the conventional cell measures 5.909, 5.916 and 7.734 Å, with angles of 90.00, 90.05 and 90.00 degrees. The distinct sites, in fractional coordinates, are Pr at (0.000, 0.000, 0.000), Pr at (0.500, 0.500, 0.500), Nd at (0.000, 0.500, 0.267), Nd at (0.499, 0.000, 0.267), Sm at (0.500, 0.500, 0.000) and Mg at (0.000, 0.000, 0.500).

Its formation energy is 0.074 eV per atom. The value obtained for the density is 6.35 g/cm3. Its density of states at the Fermi level is 1.7796 states/eV/atom.

=====

# 6
## PrNdSmMg (PBE-GGA)

Data for a geometry-optimized PrNdSmMg structure.

The space group is F-43m (No. 216) and the conventional cell measures 8.014, 8.014 and 8.014 Å, with angles of 90.00, 90.00 and 90.00 degrees. The distinct sites, in fractional coordinates, are Pr at (0.000, 0.000, 0.000), Nd at (0.000, 0.000, 0.500), Sm at (0.250, 0.250, 0.250) and Mg at (0.250, 0.250, 0.750).

Its formation energy is 0.042 eV per atom. The value obtained for the density is 5.93 g/cm3. Its density of states at the Fermi level is 1.4817 states/eV/atom.

=====

# 7
## PrNdSmMg (PBE-GGA)

Data for a geometry-optimized PrNdSmMg structure.

The space group is P4mm (No. 99) and the conventional cell measures 3.728, 3.728 and 9.295 Å, with angles of 90.00, 90.00 and 90.00 degrees. The distinct sites, in fractional coordinates, are Pr at (0.000, 0.000, 0.000), Nd at (0.500, 0.500, 0.725), Sm at (0.000, 0.000, 0.457) and Mg at (0.500, 0.500, 0.233).

Its formation energy is -0.038 eV per atom. The value obtained for the density is 5.91 g/cm3. Its density of states at the Fermi level is 1.1317 states/eV/atom.

=====

# 8
## Pr4NdSm2Mg (PBE-GGA)

Data for a geometry-optimized Pr4NdSm2Mg structure.

The space group is P2/m (No. 10) and the conventional cell measures 5.877, 5.877 and 7.861 Å, with angles of 90.00, 90.05 and 90.00 degrees. The distinct sites, in fractional coordinates, are Pr at (0.000, 0.000, 0.231), Pr at (0.500, 0.500, 0.232), Nd at (0.500, 0.000, 0.500), Sm at (0.000, 0.500, 0.500), Sm at (0.500, 0.000, 0.000) and Mg at (0.000, 0.500, 0.000).

Its formation energy is 0.064 eV per atom. The value obtained for the density is 6.32 g/cm3. Its density of states at the Fermi level is 1.6716 states/eV/atom.

=====

# 9
## PrNdMgSn (PBE-GGA)

Data for a geometry-optimized PrNdMgSn structure.

The space group is F-43m (No. 216) and the conventional cell measures 7.738, 7.738 and 7.738 Å, with angles of 90.00, 90.00 and 90.00 degrees. The distinct sites, in fractional coordinates, are Pr at (0.000, 0.000, 0.000), Nd at (0.000, 0.000, 0.500), Mg at (0.250, 0.250, 0.750) and Sn at (0.250, 0.250, 0.250).

Its formation energy is -0.442 eV per atom. The value obtained for the density is 6.14 g/cm3. Its density of states at the Fermi level is 0.7917 states/eV/atom.

=====

# 10
## SrPrNdMg (PBE-GGA)

Data for a geometry-optimized SrPrNdMg structure.

The space group is F-43m (No. 216) and the conventional cell measures 8.262, 8.262 and 8.262 Å, with angles of 90.00, 90.00 and 90.00 degrees. The distinct sites, in fractional coordinates, are Sr at (0.000, 0.000, 0.000), Pr at (0.250, 0.250, 0.750), Nd at (0.250, 0.250, 0.250) and Mg at (0.000, 0.000, 0.500).

Its formation energy is 0.121 eV per atom. The value obtained for the density is 4.68 g/cm3. Its density of states at the Fermi level is 1.1579 states/eV/atom.

=====

# 11
## Tb2Pr4NdMg (PBE-GGA)

Data for a geometry-optimized Tb2Pr4NdMg structure.

The space group is P4/mmm (No. 123) and the conventional cell measures 5.812, 5.812 and 7.947 Å, with angles of 90.00, 90.00 and 90.00 degrees. The distinct sites, in fractional coordinates, are Tb at (0.000, 0.000, 0.000), Tb at (0.500, 0.500, 0.500), Pr at (0.000, 0.500, 0.232), Nd at (0.000, 0.000, 0.500) and Mg at (0.500, 0.500, 0.000).

Its formation energy is 0.060 eV per atom. The value obtained for the density is 6.50 g/cm3. Its density of states at the Fermi level is 1.5816 states/eV/atom.

=====

# 12
## Tb2Pr4Nd2Mg (PBE-GGA)

Data for a geometry-optimized Tb2Pr4Nd2Mg structure.

The space group is P-1 (No. 2) and the conventional cell measures 5.942, 6.817 and 8.813 Å, with angles of 80.28, 70.89 and 65.29 degrees. The distinct sites, in fractional coordinates, are Tb at (0.174, 0.228, 0.034), Pr at (0.215, 0.481, 0.619), Pr at (0.429, 0.884, 0.714), Nd at (0.272, 0.694, 0.170) and Mg at (0.000, 0.000, 0.500).

Its formation energy is 0.043 eV per atom. The value obtained for the density is 6.48 g/cm3. Its density of states at the Fermi level is 1.3271 states/eV/atom.